(1)
12
Lattice="5.555 -0.005 -0.001 0.001 5.555 -0.001 0.005 0.005 5.555" Properties=species:S:1:pos:R:3 comment="Th2H3N (GGA-PBE, optimized geometry)" magmom_total_mub_per_atom=0.00 total_energy_ev_per_cell=-76.3 pbc="T T T"
Th 0.000 0.000 0.000
Th 2.780 0.000 2.777
Th 2.778 2.775 -0.001
Th 0.003 2.780 2.777
H 1.393 4.167 4.165
H 4.169 1.389 4.165
H 1.390 1.389 1.389
H 1.392 4.166 1.387
H 4.168 1.387 1.387
H 4.171 4.166 4.163
N 1.393 1.391 4.165
N 4.168 4.164 1.386

=====

(2)
7
Lattice="-2.469 -4.204 -0.463 4.089 -2.510 0.984 -1.535 3.431 2.941" Properties=species:S:1:pos:R:3 comment="Ti4H2N (GGA-PBE, optimized geometry)" magmom_total_mub_per_atom=0.00 e_above_lowest_polymorph_mev_per_atom=254.3 total_energy_ev_per_cell=-50.1 pbc="T T T"
Ti -1.093 -3.783 0.681
Ti 2.350 -2.894 1.440
Ti -0.119 -1.707 2.539
Ti -0.969 1.817 2.265
H -1.597 -2.065 1.370
H 1.682 -1.218 2.093
N 0.810 -3.357 0.261

=====

(3)
12
Lattice="-1.143 4.476 -3.532 -4.421 -3.718 0.672 1.175 2.221 5.245" Properties=species:S:1:pos:R:3 comment="Ti4HN (GGA-PBE, optimized geometry)" magmom_total_mub_per_atom=0.00 e_above_lowest_polymorph_mev_per_atom=0.0 total_energy_ev_per_cell=-95.9 pbc="T T T"
Ti -3.865 -0.863 3.448
Ti -1.987 3.218 1.406
Ti -2.923 1.849 -1.136
Ti -4.350 -2.333 1.061
Ti -1.762 1.170 3.368
Ti -4.331 1.576 2.061
Ti -0.635 3.841 -1.058
Ti -2.459 -0.215 0.886
H -1.186 0.162 -0.610
H -2.561 3.700 -0.469
N -4.209 0.574 -2.164
N -0.021 3.354 0.837

=====

(4)
12
Lattice="-3.040 4.697 -2.185 -2.787 -5.248 0.851 1.740 3.263 4.595" Properties=species:S:1:pos:R:3 comment="Ti8HN3 (GGA-PBE, optimized geometry)" magmom_total_mub_per_atom=0.00 total_energy_ev_per_cell=-103.3 pbc="T T T"
Ti -0.852 1.009 3.355
Ti -3.234 1.704 -0.094
Ti 0.533 3.634 2.921
Ti -0.979 5.970 1.834
Ti -2.365 3.359 2.256
Ti -1.721 -0.647 1.005
Ti -3.108 -3.257 1.427
Ti -4.619 -0.921 0.340
H 0.000 0.000 0.000
N -1.520 2.349 -1.092
N -2.913 -0.275 -0.667
N -1.394 -2.624 0.426

=====

(5)
5
Lattice="4.054 0.000 0.000 0.000 4.054 0.000 0.000 0.000 4.054" Properties=species:S:1:pos:R:3 comment="Ti3HN (GGA-PBE, optimized geometry)" magmom_total_mub_per_atom=0.00 e_above_lowest_polymorph_mev_per_atom=732.3 total_energy_ev_per_cell=-36.3 pbc="T T T"
H 2.027 2.027 2.027
N 0.000 0.000 0.000
Ti 0.000 2.027 0.000
Ti 0.000 0.000 2.027
Ti 2.027 0.000 0.000

=====

(6)
5
Lattice="-0.319 2.949 -2.563 -3.896 -0.440 -0.021 -0.304 2.545 2.966" Properties=species:S:1:pos:R:3 comment="TiHN3 (GGA-PBE, optimized geometry)" magmom_total_mub_per_atom=0.23 total_energy_ev_per_cell=-28.7 pbc="T T T"
H -2.260 2.527 0.191
N -1.948 -0.220 -0.011
N -0.152 1.273 1.483
N -0.160 1.474 -1.282
Ti 0.000 0.000 0.000

=====

no.,DOS at the Fermi energy (states/eV/f.u.)
1,3.246
2,5.370
3,3.226
4,7.892
5,4.857
6,2.438